(1)
This record from Alexandria via LeMat-Bulk describes a geometry-optimized Sc3P2Pd2Rh5 structure. The functional is PBE-GGA.

Cell lengths 3.888, 3.888, 12.962 Å; angles 98.63, 98.63, 90.00 degrees
Positions (direct):
Sc 0.166 0.166 0.332
Sc 0.834 0.834 0.668
Sc 0.000 0.000 0.000
P 0.368 0.368 0.736
P 0.632 0.632 0.264
Pd 0.724 0.724 0.448
Pd 0.276 0.276 0.552
Rh 0.582 0.082 0.164
Rh 0.418 0.918 0.836
Rh 0.082 0.582 0.164
Rh 0.918 0.418 0.836
Rh 0.500 0.500 0.000

Values from the calculation:
calculated total energy	-88.120	eV for the cell shown
symmetry	I4/mmm
magnetization	0.0	μB/cell
N(E_F)	0.518	states/eV per atom

=====

(2)
This record from Alexandria via LeMat-Bulk describes a geometry-optimized Tb4CoHg structure. The functional is PBE-GGA.

Cell lengths 6.905, 6.981, 7.146 Å; angles 90.00, 94.55, 90.00 degrees
Positions (direct):
Tb 0.883 0.645 0.190
Tb 0.617 0.145 0.810
Tb 0.310 0.336 0.357
Tb 0.190 0.836 0.643
Tb 0.117 0.355 0.810
Tb 0.383 0.855 0.190
Tb 0.690 0.664 0.643
Tb 0.810 0.164 0.357
Co 0.500 0.000 0.500
Co 0.000 0.500 0.500
Hg 0.000 0.000 0.000
Hg 0.500 0.500 0.000

Values from the calculation:
symmetry	P2_1/c
magnetization	0.0	μB/cell
N(E_F)	1.086	states/eV per atom
energy relative to the lowest polymorph listed for this composition	153.3	meV/atom